Entry 1:
This record from Alexandria via LeMat-Bulk describes a relaxed Zr2AlPd6 crystal. The functional is PBE.

Geometry as extended XYZ:
```
9
Lattice="3.180 0.000 -0.465 0.000 7.095 0.000 -2.180 -3.548 7.320" Properties=species:S:1:pos:R:3 pbc="T T T"
Pd 1.590 4.995 -0.233
Pd 1.590 2.100 -0.233
Pd 0.310 5.730 2.156
Pd 0.310 1.366 2.156
Pd 0.690 2.182 4.699
Pd 0.690 -2.182 4.699
Zr 1.962 3.548 2.351
Zr -0.962 0.000 4.504
Al 0.000 0.000 0.000
```

Output
ΔH_f (0 K) (eV/atom): -0.58

---

Entry 2:
This record from Alexandria via LeMat-Bulk describes a relaxed CsRb2CdHg crystal. The functional is PBE.

Geometry as extended XYZ:
```
5
Lattice="-4.918 2.516 4.648 2.498 -4.488 5.073 3.925 4.267 1.843" Properties=species:S:1:pos:R:3 pbc="T T T"
Rb -2.459 1.258 2.324
Rb 1.249 -2.244 2.536
Hg 1.962 2.134 0.922
Cd 0.000 0.000 0.000
Cs 0.752 1.147 5.782
```

Output
Energy above the most stable polymorph in this dataset (kJ/mol of atoms): 2.53
ΔH_f (0 K) (eV/atom): 0.00

---

Entry 3:
This record from Alexandria via LeMat-Bulk describes a relaxed SrAcAl4 crystal. The functional is PBE.

Geometry as extended XYZ:
```
6
Lattice="5.884 0.000 0.000 2.942 5.095 0.000 2.942 1.698 4.804" Properties=species:S:1:pos:R:3 pbc="T T T"
Ac 0.000 0.000 0.000
Sr 2.942 1.698 1.201
Al 5.884 3.397 0.599
Al 5.884 1.697 3.003
Al 4.411 4.247 3.003
Al 7.356 4.247 3.003
```

Output
Energy above the most stable polymorph in this dataset (kJ/mol of atoms): 0.00
ΔH_f (0 K) (eV/atom): -0.30

---

Entry 4:
This record from Alexandria via LeMat-Bulk describes a relaxed CeIn3Ni8 crystal. The functional is PBE.

Geometry as extended XYZ:
```
12
Lattice="-1.881 4.092 -2.078 -3.622 2.501 2.285 3.766 6.749 3.964" Properties=species:S:1:pos:R:3 pbc="T T T"
Ni -3.532 5.382 1.957
Ni -2.569 10.831 2.924
Ni -0.749 9.574 1.776
Ni -1.624 8.775 3.968
Ni -2.664 6.175 -0.217
Ni 0.615 4.189 1.773
Ni -0.263 10.852 3.852
Ni -1.727 4.135 0.819
In 3.697 6.693 3.916
In 1.279 8.416 3.580
In -0.749 6.769 2.169
Ce -3.436 8.273 1.645
```

Output
ΔH_f (0 K) (eV/atom): -0.21

---

Entry 5:
This record from Alexandria via LeMat-Bulk describes a relaxed Nd2Sn3Ir crystal. The functional is PBE.

Geometry as extended XYZ:
```
6
Lattice="-3.770 -2.734 -0.896 1.524 -5.662 -1.684 -1.452 -3.709 4.872" Properties=species:S:1:pos:R:3 pbc="T T T"
Sn -2.829 -4.141 -0.559
Sn -3.324 -8.197 1.347
Sn -0.808 -8.131 3.107
Nd -2.817 -5.202 2.625
Nd -0.813 -7.025 -0.243
Ir -0.501 -3.618 0.599
```

Output
Energy above the most stable polymorph in this dataset (kJ/mol of atoms): 0.00
ΔH_f (0 K) (eV/atom): -0.65

---

Entry 6:
This record from Alexandria via LeMat-Bulk describes a relaxed Cu4SbMo crystal. The functional is PBE.

Geometry as extended XYZ:
```
6
Lattice="0.000 3.519 3.519 3.519 0.000 3.519 3.519 3.519 0.000" Properties=species:S:1:pos:R:3 pbc="T T T"
Sb 0.000 0.000 0.000
Mo 5.279 5.279 5.279
Cu 4.394 2.645 4.394
Cu 4.394 4.394 2.645
Cu 2.645 4.394 4.394
Cu 2.645 2.645 2.645
```

Output
Uncorrected energy (eV per atom): -4.894

---

Entry 7:
This record from Alexandria via LeMat-Bulk describes a relaxed MnSnIrPt crystal. The functional is PBE.

Geometry as extended XYZ:
```
8
Lattice="6.557 0.000 0.377 0.000 3.020 0.000 -4.984 0.000 6.570" Properties=species:S:1:pos:R:3 pbc="T T T"
Ir -1.933 0.000 4.828
Ir 0.559 1.510 1.543
Mn 2.572 0.000 0.902
Mn 0.080 1.510 4.187
Pt 2.117 0.000 3.493
Pt -0.375 1.510 6.778
Sn 1.931 0.000 6.188
Sn 4.423 1.510 2.903
```

Output
ΔH_f (0 K) (eV/atom): -0.08

---

Entry 8:
This record from Alexandria via LeMat-Bulk describes a relaxed KSrMo4 crystal. The functional is PBE.

Geometry as extended XYZ:
```
6
Lattice="0.000 3.998 3.998 3.998 0.000 3.998 3.998 3.998 0.000" Properties=species:S:1:pos:R:3 pbc="T T T"
K 0.000 0.000 0.000
Mo 5.002 2.995 5.002
Mo 2.995 2.995 2.995
Mo 2.995 5.002 5.002
Mo 5.002 5.002 2.995
Sr 5.998 5.998 5.998
```

Output
ΔH_f (0 K) (eV/atom): 1.13

---

Please write out number 4 again, unchanged.
This record from Alexandria via LeMat-Bulk describes a relaxed CeIn3Ni8 crystal. The functional is PBE.

Geometry as extended XYZ:
```
12
Lattice="-1.881 4.092 -2.078 -3.622 2.501 2.285 3.766 6.749 3.964" Properties=species:S:1:pos:R:3 pbc="T T T"
Ni -3.532 5.382 1.957
Ni -2.569 10.831 2.924
Ni -0.749 9.574 1.776
Ni -1.624 8.775 3.968
Ni -2.664 6.175 -0.217
Ni 0.615 4.189 1.773
Ni -0.263 10.852 3.852
Ni -1.727 4.135 0.819
In 3.697 6.693 3.916
In 1.279 8.416 3.580
In -0.749 6.769 2.169
Ce -3.436 8.273 1.645
```

Output
ΔH_f (0 K) (eV/atom): -0.21

---

> Number 6 is which compound?

Cu4SbMo